Material: KTl2Pd5
Method: DFT, PBE
State: optimized geometry

a = 4.109 Å, b = 7.002 Å, c = 7.002 Å
α = 64.97°, β = 72.94°, γ = 72.94°
Atoms (fractional coordinates):
K 0.000 0.000 0.000
Tl 0.249 0.251 0.251
Tl 0.751 0.749 0.749
Pd 0.000 0.500 0.500
Pd 0.373 0.442 0.813
Pd 0.627 0.558 0.187
Pd 0.627 0.187 0.558
Pd 0.373 0.813 0.442

Summary:
ρ: 9.51 Mg/m³
D(E_F): 2.6 states/eV/f.u.
Energy of formation: -0.82 eV/f.u.